Below is CsTbYTe3 after structural relaxation, with properties calculated at the PBE level.

Calculated density ... 5.10 g/cm³
Polymorph energy (0 for the lowest one) ... 0.0 kJ/mol of formula units
Space group ... No. 63
DFT total energy ... -4.82 eV/atom

abc: 4.7587 9.0858 11.9073
angles: 90.00 90.00 105.18
Last column: nearest neighbours and their distance in Å.
Element x y z (fractional)
Cs: 0.2560 0.5119 0.2500  8 Te 3.95-4.19
Cs: 0.7440 0.4881 0.7500  8 Te 3.95-4.19
Te: 0.6204 0.2407 0.0401  1 Y 2.92, 2 Tb 3.22
Te: 0.0646 0.1292 0.7500  2 Y 2.94, 2 Tb 3.19
Te: 0.6204 0.2407 0.4599  1 Y 2.92, 2 Tb 3.22
Te: 0.9354 0.8708 0.2500  2 Y 2.94, 2 Tb 3.19
Te: 0.3796 0.7593 0.5401  1 Y 2.92, 2 Tb 3.22
Te: 0.3796 0.7593 0.9599  1 Y 2.92, 2 Tb 3.22
Tb: 0.0000 0.0000 0.0000  6 Te 3.19-3.22
Tb: 0.0000 0.0000 0.5000  6 Te 3.19-3.22
Y: 0.4657 0.9313 0.7500  4 Te 2.92-2.94
Y: 0.5343 0.0687 0.2500  4 Te 2.92-2.94